4
Lattice="4.552 -0.017 0.000 1.091 4.419 0.000 -2.822 -2.201 2.813" Properties=species:S:1:pos:R:3 comment="MgSi2Ru | Alexandria | PBE-GGA | optimized geometry" magnetic_moment_mub_per_cell=0.000 dos_at_fermi_per_ev_atom=0.3792 e_tot_ev_per_cell=-22.21 pbc="T T T"
Mg 0.546 2.210 1.407
Si 2.822 2.201 0.000
Ru 2.276 -0.009 1.407
Si 0.000 0.000 0.000